Entry 1:
Material: GaGeO2
Method: DFT, GGA-PBE
State: optimized geometry

extended XYZ file:
```
4
Lattice="1.476 0.852 6.340 -1.476 0.852 6.340 0.000 -1.704 6.340" Properties=species:S:1:pos:R:3 pbc="T T T"
Ga 0.000 0.000 0.000
Ge 0.000 0.000 9.509
O 0.000 0.000 7.380
O 0.000 0.000 11.639
```

- Energy above the lowest structure with this stoichiometry: 0 meV per atom
- E_form (uncorrected): -1336 meV per atom
- Space group: R-3m (166)

Entry 2:
Material: GaGeO2
Method: DFT, GGA-PBE
State: optimized geometry

extended XYZ file:
```
4
Lattice="0.000 2.878 2.878 2.878 0.000 2.878 2.878 2.878 0.000" Properties=species:S:1:pos:R:3 pbc="T T T"
Ga 0.000 0.000 0.000
Ge 2.878 2.878 2.878
O 1.439 1.439 1.439
O 4.317 4.317 4.317
```

- Energy above the lowest structure with this stoichiometry: 983 meV per atom
- E_form (uncorrected): -353 meV per atom
- Space group: Fm-3m (225)

Entry 3:
Material: Ga3GeO
Method: DFT, GGA-PBE
State: optimized geometry

extended XYZ file:
```
5
Lattice="4.430 0.000 0.000 0.000 4.430 0.000 0.000 0.000 4.430" Properties=species:S:1:pos:R:3 pbc="T T T"
Ga 0.000 0.000 2.215
Ga 0.000 2.215 0.000
Ga 2.215 0.000 0.000
Ge 2.215 2.215 2.215
O 0.000 0.000 0.000
```

- Energy above the lowest structure with this stoichiometry: 0 meV per atom
- E_form (uncorrected): -111 meV per atom
- Space group: Pm-3m (221)

Entry 4:
Material: Ga2Ge2O7
Method: DFT, GGA-PBE
State: optimized geometry

extended XYZ file:
```
22
Lattice="5.034 0.000 0.000 0.000 9.819 0.000 -1.292 0.000 5.542" Properties=species:S:1:pos:R:3 pbc="T T T"
Ga 0.370 1.832 1.892
Ga -0.277 3.077 4.663
Ga 4.019 6.741 0.879
Ga 3.372 7.987 3.650
Ge 0.847 5.910 3.749
Ge 1.493 8.818 0.978
Ge 2.249 1.001 4.563
Ge 2.895 3.909 1.792
O -0.252 6.968 2.786
O 0.394 7.760 0.015
O 0.503 9.818 1.992
O -0.143 4.910 4.763
O 1.143 2.134 3.737
O 1.789 2.775 0.966
O 2.517 0.000 0.000
O 1.871 4.909 2.771
O 1.953 7.043 4.576
O 2.599 7.684 1.805
O 3.239 0.001 3.549
O 3.885 4.908 0.779
O 3.348 2.059 5.527
O 3.994 2.851 2.756
```

- E_form (uncorrected): -1693 meV per atom
- Space group: P2_1/c (14)

Entry 5:
Material: PaGaGeO
Method: DFT, GGA-PBE
State: optimized geometry

extended XYZ file:
```
8
Lattice="4.311 0.000 0.000 0.000 4.311 0.000 0.000 0.000 7.319" Properties=species:S:1:pos:R:3 pbc="T T T"
Pa 1.078 1.078 1.071
Pa 3.233 3.233 6.248
Ga 1.078 1.078 5.094
Ga 3.233 3.233 2.225
Ge 1.078 3.233 3.660
Ge 3.233 1.078 3.660
O 1.078 3.233 0.000
O 3.233 1.078 0.000
```

- E_form (uncorrected): -1259 meV per atom
- Space group: P4/nmm (129)

Entry 6:
Material: PaGa2GeO8
Method: DFT, GGA-PBE
State: optimized geometry

extended XYZ file:
```
12
Lattice="3.272 -3.309 0.000 3.272 3.309 0.000 0.000 0.000 6.390" Properties=species:S:1:pos:R:3 pbc="T T T"
Pa 0.000 0.000 0.000
Ga 3.272 0.000 1.709
Ga 3.272 0.000 4.681
Ge 0.000 0.000 3.195
O 1.294 0.000 1.780
O 1.294 0.000 4.610
O 3.272 1.360 3.195
O 3.272 1.195 0.000
O 3.272 -1.195 0.000
O 3.272 -1.360 3.195
O 5.251 0.000 1.780
O 5.251 0.000 4.610
```

- E_form (uncorrected): -2039 meV per atom
- Space group: Cmmm (65)

Entry 7:
Material: PaGaGeO6
Method: DFT, GGA-PBE
State: optimized geometry

extended XYZ file:
```
18
Lattice="5.276 0.000 0.000 -2.638 4.569 0.000 0.000 0.000 8.714" Properties=species:S:1:pos:R:3 pbc="T T T"
Pa 0.000 3.046 2.178
Pa 2.638 1.523 6.535
Ga 0.000 0.000 0.000
Ga 0.000 0.000 4.357
Ge 0.000 3.046 6.535
Ge 2.638 1.523 2.178
O -0.730 1.593 5.464
O -1.624 3.140 7.607
O 0.730 1.593 7.607
O -0.893 4.405 5.464
O 1.745 0.164 1.107
O 1.014 1.429 3.250
O 1.624 3.140 5.464
O 0.893 4.405 7.607
O 3.531 0.164 3.250
O 1.907 2.976 1.107
O 4.262 1.429 1.107
O 3.368 2.976 3.250
```

- E_form (uncorrected): -2200 meV per atom
- Space group: P-31c (163)

Entry 8:
Material: Ga2Ge4Pb3O14
Method: DFT, GGA-PBE
State: optimized geometry

extended XYZ file:
```
23
Lattice="8.522 0.000 0.000 -4.261 7.380 0.000 0.000 0.000 5.020" Properties=species:S:1:pos:R:3 pbc="T T T"
Ga 0.000 4.920 0.023
Ga 4.261 2.460 4.998
Ge 0.000 0.000 2.510
Ge -1.043 1.806 0.000
Ge 2.085 0.000 0.000
Ge 3.218 5.574 0.000
Pb -2.438 4.223 2.510
Pb 1.823 3.157 2.510
Pb 4.876 0.000 2.510
O -2.990 6.509 3.680
O 0.119 1.536 3.680
O -0.562 3.314 0.827
O 1.271 0.871 1.340
O -1.110 6.210 0.827
O 0.000 4.920 3.252
O 3.151 1.170 4.193
O 1.672 5.237 0.827
O 4.261 2.460 1.768
O 3.699 4.067 4.193
O 2.871 6.715 3.680
O 5.933 2.144 4.193
O 7.132 0.665 1.340
O 4.380 5.844 1.340
```

- E_form (uncorrected): -1579 meV per atom
- Space group: P321 (150)

Entry 9:
Material: Ga2GePbO
Method: DFT, GGA-PBE
State: optimized geometry

extended XYZ file:
```
5
Lattice="4.627 0.000 0.000 0.000 4.627 0.000 0.000 0.000 4.575" Properties=species:S:1:pos:R:3 pbc="T T T"
Ga 0.000 2.313 0.000
Ga 2.313 0.000 0.000
Ge 0.000 0.000 2.287
Pb 2.313 2.313 2.287
O 0.000 0.000 0.000
```

- E_form (uncorrected): -127 meV per atom
- Space group: P4/mmm (123)

Entry 10:
Material: Pr4GaGeO
Method: DFT, GGA-PBE
State: optimized geometry

extended XYZ file:
```
14
Lattice="3.381 -8.148 0.000 3.381 8.148 0.000 0.000 0.000 6.755" Properties=species:S:1:pos:R:3 pbc="T T T"
Pr 1.691 4.074 0.000
Pr 1.691 4.074 3.378
Pr 3.381 6.962 5.067
Pr 3.381 1.190 5.067
Pr 1.691 -4.074 0.000
Pr 1.691 -4.074 3.378
Pr 3.381 -1.190 1.689
Pr 3.381 -6.962 1.689
Ga 3.381 6.287 1.689
Ga 3.381 -6.287 5.067
Ge 3.381 1.860 1.689
Ge 3.381 -1.860 5.067
O 3.381 4.017 5.067
O 3.381 -4.017 1.689
```

- E_form (uncorrected): -1142 meV per atom
- Space group: Cmcm (63)

Entry 11:
Material: Rb2Ga2Ge3O10
Method: DFT, GGA-PBE
State: optimized geometry

extended XYZ file:
```
34
Lattice="9.142 -3.396 0.000 9.142 3.396 0.000 -9.120 0.000 9.360" Properties=species:S:1:pos:R:3 pbc="T T T"
Rb -3.490 1.682 8.250
Rb -0.945 0.000 3.536
Rb 12.653 1.682 1.110
Rb 10.108 0.000 5.824
Ga 3.903 1.630 2.887
Ga 5.260 1.630 6.473
Ga 0.498 -0.054 7.507
Ga 8.665 -0.054 1.853
Ge 9.142 2.527 0.000
Ge 2.767 -0.013 5.332
Ge 6.396 -0.013 4.028
Ge -1.858 -1.705 8.871
Ge 4.582 -2.583 4.680
Ge 11.022 -1.705 0.489
O 3.550 1.578 1.059
O -7.637 0.106 9.078
O -3.507 -0.081 5.775
O -0.240 1.614 7.878
O 5.725 1.333 3.108
O 2.934 0.212 3.593
O 3.439 1.333 6.253
O 9.403 1.614 1.482
O 1.048 -0.110 5.729
O 7.258 -0.398 0.691
O 5.613 1.578 8.301
O -0.727 -1.443 7.547
O 6.229 0.212 5.767
O 1.906 -0.398 8.669
O 8.116 -0.110 3.631
O 3.518 -1.603 5.749
O 5.645 -1.603 3.611
O 9.890 -1.443 1.813
O 12.670 -0.081 3.585
O 16.801 0.106 0.283
```

- E_form (uncorrected): -1831 meV per atom
- Space group: C2 (5)

Entry 12:
Material: Rb2GaGeO4
Method: DFT, GGA-PBE
State: optimized geometry

extended XYZ file:
```
8
Lattice="-2.968 2.968 4.103 2.968 -2.968 4.103 2.968 2.968 -4.103" Properties=species:S:1:pos:R:3 pbc="T T T"
Rb 0.000 0.000 0.000
Rb 0.000 2.968 2.051
Ga 0.000 0.000 4.103
Ge 2.968 0.000 2.051
O 1.445 2.350 -1.037
O 3.585 1.445 1.037
O 1.523 0.618 3.066
O -0.618 1.523 5.140
```

- E_form (uncorrected): -1574 meV per atom
- Space group: I-4 (82)

Q: Among the records above, which one has the lowest E_form (uncorrected)?
A: PaGaGeO6